SrCr2Ag | PBE-GGA | relaxed

The structure in extended XYZ format:
```
4
Lattice="-3.636 1.799 1.811 -3.995 -0.815 -1.763 -3.117 -4.254 3.424" Properties=species:S:1:pos:R:3 pbc="T T T"
Ag -2.617 -0.263 0.455
Sr -5.382 -1.699 1.783
Cr -8.158 -3.226 3.179
Cr -3.081 -3.971 3.213
```

Properties
As for the space group: R3m, No. 160. As for the calculated density: 5.1 g/cm³. The total magnetization is 0.192 μB per formula unit. The distance to the lowest polymorph of the same formula is 0.00 kcal/mol of atoms. The calculation puts the formation energy from the elements at 417 meV per atom. The total energy is -5.528 eV per atom.